Material: Ac2TbBiO6
Method: DFT, PBE-GGA
State: optimized geometry

Cell lengths 6.183, 6.183, 6.160 Å; angles 119.56, 119.56, 59.37 degrees
Positions (direct):
1 Ac 0.249 0.249 0.221
2 Ac 0.751 0.751 0.779
3 Tb 0.500 0.500 0.000
4 Bi 0.000 0.000 0.500
5 O 0.173 0.665 0.162
6 O 0.257 0.257 0.623
7 O 0.335 0.827 0.838
8 O 0.665 0.173 0.162
9 O 0.743 0.743 0.377
10 O 0.827 0.335 0.838

Results
As for the total moment: 0.00 μB per formula unit. Its total energy is -7.46 eV per atom. The symmetry is C2/m (12).

Material: ThReNi
Method: DFT, PBE-GGA
State: optimized geometry

Cell lengths 4.430, 4.430, 4.430 Å; angles 60.00, 60.00, 60.00 degrees
Positions (direct):
1 Th 0.000 0.000 0.000
2 Re 0.500 0.500 0.500
3 Ni 0.250 0.250 0.250

Results
As for the total moment: 1.11 μB per formula unit. The symmetry is F-43m (216). The value obtained for the formation energy is 0.430 eV per atom.

Material: Tm6Ni2Hg
Method: DFT, PBE-GGA
State: optimized geometry

Cell lengths 8.237, 8.237, 8.237 Å; angles 112.51, 109.64, 106.32 degrees
Positions (direct):
1 Tm 0.035 0.235 0.799
2 Tm 0.183 0.289 0.472
3 Tm 0.183 0.711 0.894
4 Tm 0.326 0.020 0.694
5 Tm 0.326 0.632 0.306
6 Tm 0.436 0.235 0.201
7 Tm 0.564 0.765 0.799
8 Tm 0.674 0.368 0.694
9 Tm 0.674 0.980 0.306
10 Tm 0.817 0.289 0.106
11 Tm 0.817 0.711 0.528
12 Tm 0.965 0.765 0.201
13 Ni 0.123 0.623 0.500
14 Ni 0.355 0.000 0.355
15 Ni 0.645 0.000 0.645
16 Ni 0.877 0.377 0.500
17 Hg 0.000 0.000 0.000
18 Hg 0.500 0.500 0.000

Results
As for the total moment: 0.00 μB per formula unit. The symmetry is Immm (71). The value obtained for the formation energy is -0.365 eV per atom.

Material: BeCoSnW
Method: DFT, PBE-GGA
State: optimized geometry

Cell lengths 4.337, 4.337, 4.337 Å; angles 60.00, 60.00, 60.00 degrees
Positions (direct):
1 Be 0.000 0.000 0.000
2 Co 0.750 0.750 0.750
3 Sn 0.500 0.500 0.500
4 W 0.250 0.250 0.250

Results
As for the total moment: 1.77 μB per formula unit. The calculation puts the polymorph energy (0 for the lowest one) at 3.17 kcal/mol of atoms. The symmetry is F-43m (216).

Material: HoTmNi2
Method: DFT, PBE-GGA
State: optimized geometry

Cell lengths 4.144, 5.360, 5.360 Å; angles 40.36, 90.00, 90.00 degrees
Positions (direct):
1 Ho 0.000 0.000 0.000
2 Tm 0.500 0.720 0.720
3 Ni 0.000 0.286 0.286
4 Ni 0.500 0.432 0.432

Results
As for the total moment: 0.01 μB per formula unit. The symmetry is Amm2 (38). The value obtained for the formation energy is -0.492 eV per atom.

Material: CsPrSb
Method: DFT, PBE-GGA
State: optimized geometry

Cell lengths 5.559, 5.559, 5.559 Å; angles 60.00, 60.00, 60.00 degrees
Positions (direct):
1 Cs 0.000 0.000 0.000
2 Pr 0.250 0.250 0.250
3 Sb 0.750 0.750 0.750

Results
As for the total moment: 0.75 μB per formula unit. Its total energy is -2.78 eV per atom. The symmetry is F-43m (216).

Material: ErScNb2Ge2
Method: DFT, PBE-GGA
State: optimized geometry

Cell lengths 3.978, 3.978, 7.644 Å; angles 90.00, 90.00, 90.00 degrees
Positions (direct):
1 Er 0.000 0.000 0.000
2 Sc 0.500 0.500 0.294
3 Nb 0.000 0.500 0.641
4 Nb 0.500 0.000 0.641
5 Ge 0.000 0.000 0.387
6 Ge 0.500 0.500 0.896

Results
As for the total moment: 1.05 μB per formula unit. Its total energy is -7.36 eV per atom. The symmetry is P4mm (99).

Material: ZrFePdPb
Method: DFT, PBE-GGA
State: optimized geometry

Cell lengths 4.669, 4.669, 4.669 Å; angles 60.00, 60.00, 60.00 degrees
Positions (direct):
1 Zr 0.000 0.000 0.000
2 Fe 0.500 0.500 0.500
3 Pd 0.750 0.750 0.750
4 Pb 0.250 0.250 0.250

Results
As for the total moment: 2.52 μB per formula unit. The calculation puts the polymorph energy (0 for the lowest one) at 3.86 kcal/mol of atoms. The symmetry is F-43m (216).

Material: BeNbFeGe
Method: DFT, PBE-GGA
State: optimized geometry

Cell lengths 4.167, 4.167, 4.167 Å; angles 60.00, 60.00, 60.00 degrees
Positions (direct):
1 Be 0.000 0.000 0.000
2 Nb 0.750 0.750 0.750
3 Fe 0.500 0.500 0.500
4 Ge 0.250 0.250 0.250

Results
As for the total moment: 0.91 μB per formula unit. The calculation puts the polymorph energy (0 for the lowest one) at 0.00 kcal/mol of atoms. The symmetry is F-43m (216).

Material: PrBiNO
Method: DFT, PBE-GGA
State: optimized geometry

Cell lengths 3.927, 6.892, 6.064 Å; angles 90.00, 90.00, 90.00 degrees
Positions (direct):
1 Pr 0.000 0.150 0.000
2 Pr 0.000 0.850 0.500
3 Bi 0.500 0.348 0.476
4 Bi 0.500 0.652 0.976
5 N 0.000 0.186 0.402
6 N 0.000 0.814 0.902
7 O 0.500 0.178 0.805
8 O 0.500 0.822 0.305

Results
As for the total moment: 0.00 μB per formula unit. The calculation puts the polymorph energy (0 for the lowest one) at 3.59 kcal/mol of atoms. The symmetry is Pmc2_1 (26).

Material: Tb2Co7B3
Method: DFT, PBE-GGA
State: optimized geometry

Cell lengths 5.028, 5.028, 12.768 Å; angles 90.00, 90.00, 120.00 degrees
Positions (direct):
1 Tb 0.000 0.000 0.000
2 Tb 0.000 0.000 0.239
3 Tb 0.000 0.000 0.500
4 Tb 0.000 0.000 0.761
5 Co 0.000 0.500 0.116
6 Co 0.000 0.500 0.345
7 Co 0.000 0.500 0.655
8 Co 0.000 0.500 0.884
9 Co 0.333 0.667 0.500
10 Co 0.500 0.000 0.116
11 Co 0.500 0.000 0.345
12 Co 0.500 0.000 0.655
13 Co 0.500 0.000 0.884
14 Co 0.500 0.500 0.116
15 Co 0.500 0.500 0.345
16 Co 0.500 0.500 0.655
17 Co 0.500 0.500 0.884
18 Co 0.667 0.333 0.500
19 B 0.333 0.667 0.000
20 B 0.333 0.667 0.232
21 B 0.333 0.667 0.768
22 B 0.667 0.333 0.000
23 B 0.667 0.333 0.232
24 B 0.667 0.333 0.768

Results
As for the total moment: 3.50 μB per formula unit. Its total energy is -6.98 eV per atom. The symmetry is P6/mmm (191).

Material: DyHoH4
Method: DFT, PBE-GGA
State: optimized geometry

Cell lengths 3.636, 3.636, 5.140 Å; angles 90.00, 90.00, 90.00 degrees
Positions (direct):
1 Dy 0.000 0.000 0.000
2 Ho 0.500 0.500 0.500
3 H 0.000 0.500 0.250
4 H 0.000 0.500 0.750
5 H 0.500 0.000 0.250
6 H 0.500 0.000 0.750

Results
As for the total moment: 0.00 μB per formula unit. Its total energy is -4.48 eV per atom. The symmetry is P4/mmm (123).

Material: NaLaCo
Method: DFT, PBE-GGA
State: optimized geometry

Cell lengths 4.818, 4.818, 4.818 Å; angles 60.00, 60.00, 60.00 degrees
Positions (direct):
1 Na 0.000 0.000 0.000
2 La 0.750 0.750 0.750
3 Co 0.500 0.500 0.500

Results
As for the total moment: 0.20 μB per formula unit. The calculation puts the polymorph energy (0 for the lowest one) at 10.22 kcal/mol of atoms. The symmetry is F-43m (216).

Material: InAgTeOsS2
Method: DFT, PBE-GGA
State: optimized geometry

Cell lengths 7.955, 7.955, 10.224 Å; angles 90.00, 90.00, 154.76 degrees
Positions (direct):
1 In 0.196 0.804 0.750
2 In 0.804 0.196 0.250
3 Ag 0.159 0.841 0.250
4 Ag 0.841 0.159 0.750
5 Te 0.463 0.537 0.250
6 Te 0.537 0.463 0.750
7 Os 0.500 0.500 0.000
8 Os 0.500 0.500 0.500
9 S 0.107 0.893 0.016
10 S 0.107 0.893 0.484
11 S 0.893 0.107 0.516
12 S 0.893 0.107 0.984

Results
As for the total moment: 0.37 μB per formula unit. Its total energy is -4.71 eV per atom. The symmetry is Cmcm (63).

Material: CdH12C6S2N6
Method: DFT, PBE-GGA
State: optimized geometry

Cell lengths 9.470, 9.470, 15.694 Å; angles 103.64, 103.64, 25.26 degrees
Positions (direct):
1 Cd 0.071 0.929 0.750
2 Cd 0.929 0.071 0.250
3 H 0.002 0.881 0.005
4 H 0.031 0.408 0.661
5 H 0.053 0.532 0.924
6 H 0.107 0.570 0.038
7 H 0.119 0.998 0.495
8 H 0.129 0.293 0.509
9 H 0.217 0.455 0.278
10 H 0.293 0.129 0.009
11 H 0.408 0.031 0.161
12 H 0.430 0.893 0.462
13 H 0.455 0.217 0.778
14 H 0.468 0.947 0.576
15 H 0.532 0.053 0.424
16 H 0.545 0.783 0.222
17 H 0.570 0.107 0.538
18 H 0.592 0.969 0.839
19 H 0.707 0.871 0.991
20 H 0.783 0.545 0.722
21 H 0.871 0.707 0.491
22 H 0.881 0.002 0.505
23 H 0.893 0.430 0.962
24 H 0.947 0.468 0.076
25 H 0.969 0.592 0.339
26 H 0.998 0.119 0.995
27 C 0.059 0.293 0.021
28 C 0.072 0.719 0.391
29 C 0.136 0.636 0.691
30 C 0.281 0.928 0.109
31 C 0.293 0.059 0.521
32 C 0.364 0.864 0.809
33 C 0.636 0.136 0.191
34 C 0.707 0.941 0.479
35 C 0.719 0.072 0.891
36 C 0.864 0.364 0.309
37 C 0.928 0.281 0.609
38 C 0.941 0.707 0.979
39 S 0.290 0.673 0.378
40 S 0.327 0.710 0.122
41 S 0.673 0.290 0.878
42 S 0.710 0.327 0.622
43 N 0.084 0.581 0.332
44 N 0.104 0.111 0.539
45 N 0.111 0.104 0.039
46 N 0.163 0.486 0.667
47 N 0.419 0.916 0.168
48 N 0.486 0.163 0.167
49 N 0.514 0.837 0.833
50 N 0.581 0.084 0.832
51 N 0.837 0.514 0.333
52 N 0.889 0.896 0.961
53 N 0.896 0.889 0.461
54 N 0.916 0.419 0.668

Results
Its total energy is -5.83 eV per atom. The symmetry is C2/c (15).

Material: BeNbTlFe
Method: DFT, PBE-GGA
State: optimized geometry

Cell lengths 4.349, 4.349, 4.349 Å; angles 60.00, 60.00, 60.00 degrees
Positions (direct):
1 Be 0.000 0.000 0.000
2 Nb 0.750 0.750 0.750
3 Tl 0.250 0.250 0.250
4 Fe 0.500 0.500 0.500

Results
As for the total moment: 0.01 μB per formula unit. The calculation puts the polymorph energy (0 for the lowest one) at 0.00 kcal/mol of atoms. The symmetry is F-43m (216).

Material: LuHfNiBi
Method: DFT, PBE-GGA
State: optimized geometry

Cell lengths 4.962, 4.962, 4.962 Å; angles 60.00, 60.00, 60.00 degrees
Positions (direct):
1 Lu 0.000 0.000 0.000
2 Hf 0.250 0.250 0.250
3 Ni 0.750 0.750 0.750
4 Bi 0.500 0.500 0.500

Results
As for the total moment: 0.61 μB per formula unit. The calculation puts the polymorph energy (0 for the lowest one) at 0.00 kcal/mol of atoms. The symmetry is F-43m (216).

Material: PmAlAsO
Method: DFT, PBE-GGA
State: optimized geometry

Cell lengths 3.986, 4.713, 7.181 Å; angles 90.00, 90.00, 90.00 degrees
Positions (direct):
1 Pm 0.000 0.188 0.000
2 Pm 0.000 0.812 0.500
3 Al 0.500 0.319 0.342
4 Al 0.500 0.681 0.842
5 As 0.500 0.187 0.687
6 As 0.500 0.813 0.187
7 O 0.000 0.319 0.344
8 O 0.000 0.681 0.844

Results
As for the total moment: 0.00 μB per formula unit. The calculation puts the polymorph energy (0 for the lowest one) at 0.72 kcal/mol of atoms. The symmetry is Pmc2_1 (26).

Material: TbHf3Si4
Method: DFT, PBE-GGA
State: optimized geometry

Cell lengths 5.368, 3.781, 7.157 Å; angles 90.00, 90.81, 90.00 degrees
Positions (direct):
1 Tb 0.000 0.000 0.000
2 Hf 0.255 0.000 0.500
3 Hf 0.497 0.500 0.151
4 Hf 0.749 0.500 0.641
5 Si 0.012 0.500 0.293
6 Si 0.241 0.500 0.772
7 Si 0.511 0.000 0.859
8 Si 0.732 0.000 0.369

Results
As for the total moment: 0.00 μB per formula unit. Its total energy is -7.80 eV per atom. The symmetry is Pm (6).

Material: RbNi2Pb
Method: DFT, PBE-GGA
State: optimized geometry

Cell lengths 4.123, 4.123, 14.469 Å; angles 90.00, 90.00, 120.00 degrees
Positions (direct):
1 Rb 0.000 0.000 0.000
2 Rb 0.000 0.000 0.500
3 Ni 0.333 0.667 0.169
4 Ni 0.333 0.667 0.331
5 Ni 0.667 0.333 0.669
6 Ni 0.667 0.333 0.831
7 Pb 0.333 0.667 0.750
8 Pb 0.667 0.333 0.250

Results
As for the total moment: 0.01 μB per formula unit. Its total energy is -3.40 eV per atom. The symmetry is P6_3/mmc (194).

Material: HfGaAsO
Method: DFT, PBE-GGA
State: optimized geometry

Cell lengths 3.608, 3.608, 9.996 Å; angles 90.00, 90.00, 90.00 degrees
Positions (direct):
1 Hf 0.250 0.250 0.120
2 Hf 0.750 0.750 0.880
3 Ga 0.250 0.750 0.500
4 Ga 0.750 0.250 0.500
5 As 0.250 0.250 0.738
6 As 0.750 0.750 0.262
7 O 0.250 0.750 0.000
8 O 0.750 0.250 0.000

Results
As for the total moment: 0.00 μB per formula unit. The calculation puts the polymorph energy (0 for the lowest one) at 0.24 kcal/mol of atoms. The symmetry is P4/nmm (129).

Material: CdWAu2
Method: DFT, PBE-GGA
State: optimized geometry

Cell lengths 4.670, 4.670, 4.670 Å; angles 60.00, 60.00, 60.00 degrees
Positions (direct):
1 Cd 0.000 0.000 0.000
2 W 0.750 0.750 0.750
3 Au 0.250 0.250 0.250
4 Au 0.500 0.500 0.500

Results
As for the total moment: 1.55 μB per formula unit. The symmetry is F-43m (216). The value obtained for the formation energy is 0.658 eV per atom.

Material: Hg2N
Method: DFT, PBE-GGA
State: optimized geometry

Cell lengths 5.701, 5.701, 3.647 Å; angles 90.00, 90.00, 90.00 degrees
Positions (direct):
1 Hg 0.208 0.208 0.000
2 Hg 0.292 0.708 0.500
3 Hg 0.708 0.292 0.500
4 Hg 0.792 0.792 0.000
5 N 0.000 0.000 0.500
6 N 0.500 0.500 0.000

Results
The calculation puts the polymorph energy (0 for the lowest one) at 0.00 kcal/mol of atoms. The symmetry is P4_2/mnm (136).